Density functional theory data (SCAN) for a PBEsol-optimized structure of BiWBrO2.

Lattice parameters (Å, degrees): 4.139 4.139 5.832 90.00 90.00 90.00
Element x y z (fractional)
1 Bi 0.000 0.000 0.000
2 W 0.000 0.000 0.500
3 Br 0.500 0.500 0.500
4 O 0.000 0.500 0.000
5 O 0.500 0.000 0.000

**Uncorrected formation energy**: 0.721 eV per atom
**Space group**: P4/mmm
**DOS(E_F)**: 1.6 states/eV/f.u.
**Energy**: -2.5958 Ry per atom
**Volume**: 20.0 Å³ per atom